<one>
A relaxed structure of AcPaPd, computed with PBE.

The density of states at the Fermi level comes out at 1.313 states/eV/atom. The calculation puts the size of the total moment at 0.00 μB/cell.

The space group is I4mm (No. 107) and the conventional cell measures 3.7260, 3.7260 and 12.2832 Å, with angles of 90.00, 90.00 and 90.00 degrees. Symmetry generates all atoms from Ac at (0.0000, 0.0000, 0.0000), Pa at (0.0000, 0.0000, 0.2911) and Pd at (0.0000, 0.0000, 0.6984).

<two>
A relaxed structure of AcPaPd, computed with PBE.

The density of states at the Fermi level comes out at 1.457 states/eV/atom. The calculation puts the size of the total moment at 0.00 μB/cell.

The space group is P2_1/m (No. 11) and the conventional cell measures 3.8115, 3.9013 and 12.0433 Å, with angles of 90.00, 98.97 and 90.00 degrees. Symmetry generates all atoms from Ac at (0.1854, 0.2500, 0.3679), Pa at (0.4208, 0.2500, 0.8473) and Pd at (0.0446, 0.2500, 0.0819).

Least stable structure: <one>